No. 1
The following is a PBE calculation of crystalline YScCr2 at its relaxed geometry, from Alexandria via LeMat-Bulk.

Cell: 6.8833 6.8833 6.8833 Å, 90.00 90.00 90.00°
Closest atoms and distances in Å follow each position.
Space group F-43m (No. 216)
Symmetry-distinct sites (fractional):
Y1 0.0000 0.0000 0.0000 [4 per cell]  4 Cr 2.98, 4 Sc 2.98
Sc1 0.2500 0.2500 0.7500 [4 per cell]  4 Cr 2.98, 4 Y 2.98
Cr1 0.0000 0.0000 0.5000 [4 per cell]  4 Cr 2.98, 4 Sc 2.98
Cr2 0.2500 0.2500 0.2500 [4 per cell]  4 Cr 2.98, 4 Y 2.98

Calculated values
- calculated density (g/cm³) = 4.84
- DFT total energy (eV per atom) = -7.618
- energy relative to the elements (meV/atom) = 393

=====

No. 2
The following is a PBE calculation of crystalline YScCr2 at its relaxed geometry, from Alexandria via LeMat-Bulk.

Cell: 3.4108 3.4289 6.8711 Å, 90.00 90.00 90.00°
Closest atoms and distances in Å follow each position.
Space group Pmmm (No. 47)
Symmetry-distinct sites (fractional):
Y1 0.0000 0.0000 0.0000 [1 per cell]  8 Cr 3.05, 2 Y 3.41
Sc1 0.0000 0.0000 0.5000 [1 per cell]  8 Cr 2.89
Cr1 0.5000 0.5000 0.2704 [2 per cell]  4 Sc 2.89, 4 Y 3.05, 1 Cr 3.16

Calculated values
- calculated density (g/cm³) = 4.92
- DFT total energy (eV per atom) = -7.641
- energy relative to the elements (meV/atom) = 369

=====

No. 3
The following is a PBE calculation of crystalline YScCr2 at its relaxed geometry, from Alexandria via LeMat-Bulk.

Cell: 7.5955 7.5955 6.1089 Å, 90.00 90.00 90.00°
Closest atoms and distances in Å follow each position.
Space group I-42d (No. 122)
Symmetry-distinct sites (fractional):
Y1 0.0000 0.0000 0.0000 [4 per cell]  4 Cr 2.87, 2 Sc 3.05
Sc1 0.0000 0.0000 0.5000 [4 per cell]  4 Cr 2.72
Cr1 0.2350 0.2500 0.6250 [8 per cell]  2 Sc 2.72, 2 Y 2.87

Calculated values
- calculated density (g/cm³) = 4.48
- DFT total energy (eV per atom) = -7.247
- energy relative to the elements (meV/atom) = 763

=====

No. 4
The following is a PBE calculation of crystalline YScCr2 at its relaxed geometry, from Alexandria via LeMat-Bulk.

Cell: 3.3059 4.8149 9.7624 Å, 90.00 90.00 90.00°
Closest atoms and distances in Å follow each position.
Space group Imm2 (No. 44)
Symmetry-distinct sites (fractional):
Y1 0.0000 0.0000 0.0000 [2 per cell]  8 Cr 2.98-3.25, 4 Sc 3.19-3.23, 2 Y 3.31
Sc1 0.0000 0.5000 0.2205 [2 per cell]  8 Cr 2.97-3.21, 4 Y 3.19-3.23, 2 Sc 3.31
Cr1 0.0000 0.0000 0.4385 [2 per cell]  2 Cr 2.29
Cr2 0.0000 0.5000 0.7760 [2 per cell]  2 Cr 2.29

Calculated values
- calculated density (g/cm³) = 5.08
- DFT total energy (eV per atom) = -7.730
- energy relative to the elements (meV/atom) = 281

=====

No. 5
The following is a PBE calculation of crystalline ScZn2Cr at its relaxed geometry, from Alexandria via LeMat-Bulk.

Cell: 3.3047 4.5001 8.8560 Å, 90.00 90.00 90.00°
Closest atoms and distances in Å follow each position.
Space group Imm2 (No. 44)
Symmetry-distinct sites (fractional):
Sc1 0.0000 0.0000 0.0000 [2 per cell]  8 Zn 2.79-3.05, 4 Cr 2.87-3.06
Zn1 0.0000 0.0000 0.4859 [2 per cell]  2 Zn 2.55, 2 Cr 2.75, 4 Sc 2.79
Zn2 0.0000 0.5000 0.7674 [2 per cell]  2 Zn 2.55, 4 Cr 2.81
Cr1 0.0000 0.5000 0.2346 [2 per cell]  6 Zn 2.75-2.81, 4 Sc 2.87-3.06

Calculated values
- calculated density (g/cm³) = 5.74
- DFT total energy (eV per atom) = -4.578
- energy relative to the elements (meV/atom) = 48

=====

No. 6
The following is a PBE calculation of crystalline ScZn2Cr at its relaxed geometry, from Alexandria via LeMat-Bulk.

Cell: 3.0820 3.0820 25.8246 Å, 90.00 90.00 120.00°
Closest atoms and distances in Å follow each position.
Space group R-3m (No. 166, hexagonal axes)
Symmetry-distinct sites (fractional):
Sc1 0.0000 0.0000 0.0000 [3 per cell]  6 Zn 2.91, 6 Sc 3.08
Zn1 0.0000 0.0000 0.2442 [6 per cell]  3 Cr 2.68, 3 Sc 2.91
Cr1 0.0000 0.0000 0.5000 [3 per cell]  6 Zn 2.68

Calculated values
- calculated density (g/cm³) = 5.34
- DFT total energy (eV per atom) = -4.413
- energy relative to the elements (meV/atom) = 213

=====

> Which value of DFT total energy does entry 3 give?

-7.247 eV per atom